Arrangement i

Compound: SiGeIr2
Source: OQMD
Functional: PBE-GGA
Structure: relaxed

It has space group P2_1/m (No. 11), with a = 5.600 Å, b = 3.412 Å, c = 6.368 Å, α = 90.00°, β = 90.13° and γ = 90.00°. The asymmetric unit holds Si at (0.185, 0.250, 0.068), Ge at (0.310, 0.750, 0.569), Ir at (0.001, 0.250, 0.719) and Ir at (0.495, 0.750, 0.194).



Arrangement ii

Compound: SiGeIr2
Source: OQMD
Functional: PBE-GGA
Structure: relaxed

It has space group Pmc2_1 (No. 26), with a = 3.420 Å, b = 6.338 Å, c = 5.613 Å, α = 90.00°, β = 90.00° and γ = 90.00°. The asymmetric unit holds Si at (0.000, 0.180, 0.000), Ge at (0.500, 0.320, 0.374), Ir at (0.000, 0.450, 0.688) and Ir at (0.500, 0.040, 0.690).



Arrangement iii

Compound: SiGeIr2
Source: OQMD
Functional: PBE-GGA
Structure: relaxed

It has space group Pmn2_1 (No. 31), with a = 3.388 Å, b = 5.634 Å, c = 6.339 Å, α = 90.00°, β = 90.00° and γ = 90.00°. The asymmetric unit holds Si at (0.000, 0.063, 0.000), Ge at (0.000, 0.563, 0.636), Ir at (0.000, 0.239, 0.365) and Ir at (0.000, 0.754, 0.275).



Which of them is the most stable, and which is the least stable? arrangement i and arrangement ii, in that order.



Arrangement i

Compound: SmTmGe2Ir
Source: OQMD
Functional: PBE-GGA
Structure: relaxed

It has space group C2/m (No. 12), with a = 10.525 Å, b = 4.325 Å, c = 10.324 Å, α = 90.00°, β = 116.75° and γ = 90.00°. The asymmetric unit holds Sm at (0.192, 0.000, 0.118), Tm at (0.010, 0.000, 0.333), Ge at (0.018, 0.500, 0.880), Ge at (0.145, 0.500, 0.552) and Ir at (0.231, 0.500, 0.341).



Arrangement ii

Compound: SmTmGe2Ir
Source: OQMD
Functional: PBE-GGA
Structure: relaxed

It has space group C2/m (No. 12), with a = 10.623 Å, b = 4.303 Å, c = 10.405 Å, α = 90.00°, β = 117.23° and γ = 90.00°. The asymmetric unit holds Sm at (0.006, 0.000, 0.327), Tm at (0.188, 0.000, 0.119), Ge at (0.022, 0.500, 0.888), Ge at (0.150, 0.500, 0.555) and Ir at (0.226, 0.500, 0.331).



Which of them is the most stable, and which is the least stable? arrangement i and arrangement ii, in that order.



Arrangement i

Compound: YTmGe2Ir
Source: OQMD
Functional: PBE-GGA
Structure: relaxed

It has space group C2/m (No. 12), with a = 10.485 Å, b = 4.301 Å, c = 10.275 Å, α = 90.00°, β = 116.77° and γ = 90.00°. The asymmetric unit holds Y at (0.008, 0.000, 0.329), Tm at (0.189, 0.000, 0.118), Ge at (0.023, 0.500, 0.886), Ge at (0.146, 0.500, 0.553) and Ir at (0.228, 0.500, 0.334).



Arrangement ii

Compound: YTmGe2Ir
Source: OQMD
Functional: PBE-GGA
Structure: relaxed

It has space group C2/m (No. 12), with a = 10.448 Å, b = 4.303 Å, c = 10.267 Å, α = 90.00°, β = 116.60° and γ = 90.00°. The asymmetric unit holds Y at (0.190, 0.000, 0.118), Tm at (0.008, 0.000, 0.330), Ge at (0.023, 0.500, 0.885), Ge at (0.145, 0.500, 0.553) and Ir at (0.228, 0.500, 0.335).



Which of them is the most stable, and which is the least stable? arrangement ii and arrangement i, in that order.



Arrangement i

Compound: KLuGeSe3
Source: OQMD
Functional: PBE-GGA
Structure: relaxed

It has space group P2_1/m (No. 11), with a = 8.564 Å, b = 4.000 Å, c = 10.930 Å, α = 90.00°, β = 109.21° and γ = 90.00°. The asymmetric unit holds K at (0.228, 0.250, 0.271), Lu at (0.366, 0.750, 0.845), Ge at (0.129, 0.250, 0.558), Se at (0.115, 0.250, 0.782), Se at (0.338, 0.750, 0.577) and Se at (0.393, 0.750, 0.106).



Arrangement ii

Compound: KLuGeSe3
Source: OQMD
Functional: PBE-GGA
Structure: relaxed

It has space group Cmcm (No. 63), with a = 4.004 Å, b = 15.668 Å, c = 11.581 Å, α = 90.00°, β = 90.00° and γ = 90.00°. The asymmetric unit holds K at (0.000, 0.205, 0.250), Lu at (0.000, 0.500, 0.000), Ge at (0.000, 0.100, 0.750), Se at (0.000, 0.124, 0.513) and Se at (0.000, 0.491, 0.750).



Which of them is the most stable, and which is the least stable? arrangement i and arrangement ii, in that order.



Arrangement i

Compound: KNbGe
Source: OQMD
Functional: PBE-GGA
Structure: relaxed

It has space group F-43m (No. 216), with a = 6.858 Å, b = 6.858 Å, c = 6.858 Å, α = 90.00°, β = 90.00° and γ = 90.00°. The asymmetric unit holds K at (0.000, 0.000, 0.000), Nb at (0.000, 0.000, 0.500) and Ge at (0.250, 0.250, 0.250).



Arrangement ii

Compound: KNbGe
Source: OQMD
Functional: PBE-GGA
Structure: relaxed

It has space group F-43m (No. 216), with a = 6.942 Å, b = 6.942 Å, c = 6.942 Å, α = 90.00°, β = 90.00° and γ = 90.00°. The asymmetric unit holds K at (0.000, 0.000, 0.000), Nb at (0.250, 0.250, 0.250) and Ge at (0.250, 0.250, 0.750).



Which of them is the most stable, and which is the least stable? arrangement i and arrangement ii, in that order.



Arrangement i

Compound: KTmGeSe3
Source: OQMD
Functional: PBE-GGA
Structure: relaxed

It has space group Cmcm (No. 63), with a = 4.328 Å, b = 14.909 Å, c = 11.278 Å, α = 90.00°, β = 90.00° and γ = 90.00°. The asymmetric unit holds K at (0.000, 0.247, 0.250), Tm at (0.000, 0.500, 0.000), Ge at (0.000, 0.040, 0.750), Se at (0.000, 0.125, 0.540) and Se at (0.000, 0.438, 0.750).



Arrangement ii

Compound: KTmGeSe3
Source: OQMD
Functional: PBE-GGA
Structure: relaxed

It has space group Pnma (No. 62), with a = 15.486 Å, b = 4.021 Å, c = 11.564 Å, α = 90.00°, β = 90.00° and γ = 90.00°. The asymmetric unit holds K at (0.229, 0.250, 0.074), Tm at (0.009, 0.750, 0.650), Ge at (0.035, 0.250, 0.918), Se at (0.085, 0.750, 0.225), Se at (0.104, 0.250, 0.540) and Se at (0.129, 0.750, 0.838).



Which of them is the most stable, and which is the least stable? arrangement ii and arrangement i, in that order.



Arrangement i

Compound: KTcGe
Source: OQMD
Functional: PBE-GGA
Structure: relaxed

It has space group F-43m (No. 216), with a = 6.380 Å, b = 6.380 Å, c = 6.380 Å, α = 90.00°, β = 90.00° and γ = 90.00°. The asymmetric unit holds K at (0.000, 0.000, 0.000), Tc at (0.250, 0.250, 0.750) and Ge at (0.000, 0.000, 0.500).



Arrangement ii

Compound: KTcGe
Source: OQMD
Functional: PBE-GGA
Structure: relaxed

It has space group F-43m (No. 216), with a = 7.042 Å, b = 7.042 Å, c = 7.042 Å, α = 90.00°, β = 90.00° and γ = 90.00°. The asymmetric unit holds K at (0.000, 0.000, 0.000), Tc at (0.250, 0.250, 0.250) and Ge at (0.250, 0.250, 0.750).



Which of them is the most stable, and which is the least stable? arrangement i and arrangement ii, in that order.



Arrangement i

Compound: KTmGeTe3
Source: OQMD
Functional: PBE-GGA
Structure: relaxed

It has space group Pnma (No. 62), with a = 16.562 Å, b = 4.265 Å, c = 12.134 Å, α = 90.00°, β = 90.00° and γ = 90.00°. The asymmetric unit holds K at (0.226, 0.250, 0.072), Tm at (0.010, 0.750, 0.652), Ge at (0.033, 0.250, 0.926), Te at (0.089, 0.750, 0.224), Te at (0.109, 0.250, 0.538) and Te at (0.131, 0.750, 0.844).



Arrangement ii

Compound: KTmGeTe3
Source: OQMD
Functional: PBE-GGA
Structure: relaxed

It has space group Cmcm (No. 63), with a = 4.560 Å, b = 15.750 Å, c = 11.948 Å, α = 90.00°, β = 90.00° and γ = 90.00°. The asymmetric unit holds K at (0.000, 0.249, 0.250), Tm at (0.000, 0.000, 0.000), Ge at (0.000, 0.459, 0.750), Te at (0.000, 0.067, 0.750) and Te at (0.000, 0.370, 0.541).



Which of them is the most stable, and which is the least stable? arrangement i and arrangement ii, in that order.



Arrangement i

Compound: KGeW
Source: OQMD
Functional: PBE-GGA
Structure: relaxed

It has space group F-43m (No. 216), with a = 6.693 Å, b = 6.693 Å, c = 6.693 Å, α = 90.00°, β = 90.00° and γ = 90.00°. The asymmetric unit holds K at (0.000, 0.000, 0.000), Ge at (0.250, 0.250, 0.250) and W at (0.000, 0.000, 0.500).



Arrangement ii

Compound: KGeW
Source: OQMD
Functional: PBE-GGA
Structure: relaxed

It has space group F-43m (No. 216), with a = 7.024 Å, b = 7.024 Å, c = 7.024 Å, α = 90.00°, β = 90.00° and γ = 90.00°. The asymmetric unit holds K at (0.000, 0.000, 0.000), Ge at (0.250, 0.250, 0.750) and W at (0.250, 0.250, 0.250).



Which of them is the most stable, and which is the least stable? arrangement i and arrangement ii, in that order.



Arrangement i

Compound: KZrGe
Source: OQMD
Functional: PBE-GGA
Structure: relaxed

It has space group F-43m (No. 216), with a = 6.971 Å, b = 6.971 Å, c = 6.971 Å, α = 90.00°, β = 90.00° and γ = 90.00°. The asymmetric unit holds K at (0.000, 0.000, 0.000), Zr at (0.000, 0.000, 0.500) and Ge at (0.250, 0.250, 0.250).



Arrangement ii

Compound: KZrGe
Source: OQMD
Functional: PBE-GGA
Structure: relaxed

It has space group F-43m (No. 216), with a = 6.944 Å, b = 6.944 Å, c = 6.944 Å, α = 90.00°, β = 90.00° and γ = 90.00°. The asymmetric unit holds K at (0.000, 0.000, 0.000), Zr at (0.250, 0.250, 0.250) and Ge at (0.250, 0.250, 0.750).



Which of them is the most stable, and which is the least stable? arrangement i and arrangement ii, in that order.



Arrangement i

Compound: NaLaGePd
Source: OQMD
Functional: PBE-GGA
Structure: relaxed

It has space group F-43m (No. 216), with a = 7.190 Å, b = 7.190 Å, c = 7.190 Å, α = 90.00°, β = 90.00° and γ = 90.00°. The asymmetric unit holds Na at (0.000, 0.000, 0.000), La at (0.000, 0.000, 0.500), Ge at (0.250, 0.250, 0.250) and Pd at (0.250, 0.250, 0.750).



Arrangement ii

Compound: NaLaGePd
Source: OQMD
Functional: PBE-GGA
Structure: relaxed

It has space group F-43m (No. 216), with a = 6.972 Å, b = 6.972 Å, c = 6.972 Å, α = 90.00°, β = 90.00° and γ = 90.00°. The asymmetric unit holds Na at (0.000, 0.000, 0.000), La at (0.250, 0.250, 0.250), Ge at (0.250, 0.250, 0.750) and Pd at (0.000, 0.000, 0.500).



Arrangement iii

Compound: NaLaGePd
Source: OQMD
Functional: PBE-GGA
Structure: relaxed

It has space group F-43m (No. 216), with a = 6.989 Å, b = 6.989 Å, c = 6.989 Å, α = 90.00°, β = 90.00° and γ = 90.00°. The asymmetric unit holds Na at (0.000, 0.000, 0.000), La at (0.250, 0.250, 0.250), Ge at (0.000, 0.000, 0.500) and Pd at (0.250, 0.250, 0.750).



Which of them is the most stable, and which is the least stable? arrangement ii and arrangement i, in that order.